## ReWBr2 (GGA-PBE)

Data for ReWBr2 after structural relaxation.

a = 6.4287 Å, b = 6.4287 Å, c = 6.4287 Å
α = 90.00°, β = 90.00°, γ = 90.00°
Space group Fm-3m (No. 225)
One atom of each set of equivalent atoms:
1 Re 0.0000 0.0000 0.0000
2 W 0.0000 0.0000 0.5000
3 Br 0.2500 0.2500 0.2500

Computed properties:
DOS(E_F) = 17.14 states/eV per cell
Distance to the lowest polymorph of the same formula = 1534 meV per atom
Formation energy from raw total energies = 1.702 eV per atom